# YPC3 (PBE, optimized geometry)
# * distance to the lowest polymorph of the same formula: 0 meV per atom
# * magnetic moment: 0.00 μB/atom
# * energy relative to the elements: 1.09 eV per atom
# * volume: 10.5 Å³ per atom
data_YPC3
_chemical_formula_sum 'Y1 P1 C3'
_cell_length_a 3.7462
_cell_length_b 3.7462
_cell_length_c 3.7462
_cell_angle_alpha 90.00
_cell_angle_beta 90.00
_cell_angle_gamma 90.00
_space_group_name_H-M_alt 'P m -3 m'
_space_group_IT_number 221
_space_group_name_Hall '-P 4 2 3'
loop_
_atom_site_label
_atom_site_type_symbol
_atom_site_fract_x
_atom_site_fract_y
_atom_site_fract_z
_atom_site_occupancy
Y1 Y 0.0000 0.0000 0.0000 1
P1 P 0.5000 0.5000 0.5000 1
C1 C 0.0000 0.5000 0.5000 1